Below is crystalline TaCo2W at its relaxed geometry, with properties calculated at the GGA-PBE level.

Computed properties:
Space group: I-4m2 (119)
DOS(E_F) (states/eV per atom): 1.284

Structure (POSCAR):
```
TaCo2W
1.0
-2.7905 -0.2391 -3.9481
-0.0086 -4.2904 -2.2414
-0.6111 1.5052 4.5599
Co W Ta
2 1 1
Direct
0.7500 0.2500 0.5000
0.0001 0.0001 0.0000
0.2500 0.7500 0.5000
0.5000 0.5000 0.0000
```


Below is crystalline TaCo2W at its relaxed geometry, with properties calculated at the GGA-PBE level.

Computed properties:
Space group: Pm (6)
DOS(E_F) (states/eV per atom): 0.929

Structure (POSCAR):
```
TaCo2W
1.0
-1.0079 4.2280 -0.0148
-2.6480 -0.6317 -0.1377
-0.6996 -0.1507 4.5892
W Co Ta
1 2 1
Direct
0.5000 0.7329 0.8167
0.5000 0.1150 0.2965
0.0000 0.1201 0.9505
0.0000 0.5321 0.4363
```


Below is crystalline TaCo2W at its relaxed geometry, with properties calculated at the GGA-PBE level.

Computed properties:
Space group: P4mm (99)
DOS(E_F) (states/eV per atom): 0.796

Structure (POSCAR):
```
TaCo2W
1.0
2.7123 0.0000 0.0000
0.0000 2.7123 0.0000
0.0000 0.0000 7.6081
W Ta Co
1 1 2
Direct
0.5000 0.5000 0.7812
0.0000 0.0000 0.4768
0.0000 0.0000 0.0243
0.5000 0.5000 0.2177
```


Number 1: DFT formation energy 0.097 eV per atom. Number 2: DFT formation energy -0.044 eV per atom. Number 3: DFT formation energy 0.090 eV per atom.